(1)
# Rb3Ge7HO20

A relaxed structure of Rb3Ge7HO20 (PBE-GGA, the Alexandria database).

Cell: 7.8461 7.8461 7.8461 Å, 89.77 89.77 89.77°
Last column: magnetic moment on the atom in μB.
Fractional positions:
Rb (0.4884, 0.9835, 0.9835)  0.00
Rb (0.9835, 0.9835, 0.4884)  0.00
Rb (0.9835, 0.4884, 0.9835)  0.00
Ge (0.4833, 0.9797, 0.4833)  0.00
Ge (0.9797, 0.4833, 0.4833)  0.00
Ge (0.4833, 0.4833, 0.9797)  0.00
Ge (0.3477, 0.3477, 0.3477)  0.01
Ge (0.6336, 0.3231, 0.6336)  -0.01
Ge (0.6336, 0.6336, 0.3231)  -0.01
Ge (0.3231, 0.6336, 0.6336)  -0.01
H (0.5428, 0.5428, 0.5428)  0.00
O (0.8964, 0.8964, 0.8964)  1.35
O (0.2321, 0.8082, 0.2321)  1.40
O (0.2321, 0.2321, 0.8082)  1.40
O (0.8082, 0.2321, 0.2321)  1.40
O (0.3555, 0.1131, 0.3555)  0.04
O (0.1131, 0.3555, 0.3555)  0.04
O (0.3555, 0.3555, 0.1131)  0.04
O (0.6203, 0.0944, 0.6203)  0.01
O (0.8642, 0.3431, 0.6179)  0.01
O (0.6179, 0.3431, 0.8642)  0.01
O (0.6179, 0.8642, 0.3431)  0.01
O (0.8642, 0.6179, 0.3431)  0.01
O (0.6203, 0.6203, 0.0944)  0.01
O (0.3431, 0.8642, 0.6179)  0.01
O (0.0944, 0.6203, 0.6203)  0.01
O (0.3431, 0.6179, 0.8642)  0.01
O (0.6144, 0.6144, 0.6144)  0.03
O (0.3771, 0.6042, 0.3771)  0.25
O (0.3771, 0.3771, 0.6042)  0.25
O (0.6042, 0.3771, 0.3771)  0.25

Summary:
The value obtained for the density of states at the Fermi level is 0.5513 states/eV/atom. The crystal system is trigonal. The volume is 483.0 Å³ per cell. The total energy comes out at -5.519 eV/atom. As for the symmetry: R3m.



(2)
# SrEuNiTe

A relaxed structure of SrEuNiTe (PBE-GGA, the Alexandria database).

Cell: 5.4041 5.4041 5.4041 Å, 60.00 60.00 60.00°
Last column: magnetic moment on the atom in μB.
Fractional positions:
Eu (0.0000, 0.0000, 0.0000)  6.89
Sr (0.5000, 0.5000, 0.5000)  0.03
Te (0.2500, 0.2500, 0.2500)  -0.05
Ni (0.7500, 0.7500, 0.7500)  -0.22

Summary:
The crystal system is cubic. The volume is 111.6 Å³ per cell. The value obtained for the formation energy (no corrections) is -559 meV/atom. As for the symmetry: F-43m.



(3)
# La2YPt

A relaxed structure of La2YPt (PBE-GGA, the Alexandria database).

Cell: 6.6140 6.6140 6.6140 Å, 146.84 130.11 61.22°
Fractional positions:
La (0.0015, 0.0015, 0.0000)
La (0.6997, 0.1997, 0.5000)
Pt (0.4942, 0.4942, 0.0000)
Y (0.3046, 0.8046, 0.5000)

Summary:
The value obtained for the density of states at the Fermi level is 1.2042 states/eV/atom. The crystal system is orthorhombic. The volume is 119.9 Å³ per cell. For the formation energy from the elements, the calculation gives -0.546 eV per atom. The energy above the lowest structure with this stoichiometry comes out at 0.103 eV/atom. As for the symmetry: Imm2.



(4)
# Rb2Ba2Tl

A relaxed structure of Rb2Ba2Tl (PBE-GGA, the Alexandria database).

Cell: 9.2688 9.2688 7.8288 Å, 90.00 90.00 90.00°
Fractional positions:
Tl (0.0000, 0.0000, 0.0000)
Tl (0.5000, 0.5000, 0.0000)
Ba (0.3317, 0.8317, 0.0000)
Ba (0.8317, 0.6683, 0.0000)
Ba (0.6683, 0.1683, 0.0000)
Ba (0.1683, 0.3317, 0.0000)
Rb (0.1762, 0.6762, 0.5000)
Rb (0.6762, 0.8238, 0.5000)
Rb (0.8238, 0.3238, 0.5000)
Rb (0.3238, 0.1762, 0.5000)

Summary:
The value obtained for the density of states at the Fermi level is 1.9341 states/eV/atom. The crystal system is tetragonal. The volume is 672.6 Å³ per cell. For the formation energy from the elements, the calculation gives 0.053 eV per atom. The energy above the lowest structure with this stoichiometry comes out at 0.000 eV/atom. As for the symmetry: P4/mbm.



(5)
# Nd3Ho2Mg

A relaxed structure of Nd3Ho2Mg (PBE-GGA, the Alexandria database).

Cell: 3.6958 11.5785 11.1032 Å, 124.05 99.58 90.00°
Fractional positions:
Nd (0.2543, 0.1359, 0.5085)
Nd (0.0716, 0.7205, 0.1432)
Nd (0.3932, 0.5130, 0.7864)
Nd (0.7457, 0.8641, 0.4915)
Nd (0.6068, 0.4870, 0.2136)
Nd (0.9284, 0.2795, 0.8568)
Ho (0.2794, 0.6466, 0.5587)
Ho (0.7206, 0.3534, 0.4413)
Ho (0.9426, 0.8174, 0.8852)
Ho (0.0574, 0.1826, 0.1148)
Mg (0.4032, 0.0067, 0.8065)
Mg (0.5968, 0.9933, 0.1935)

Summary:
The value obtained for the density of states at the Fermi level is 1.2621 states/eV/atom. The crystal system is monoclinic. The volume is 385.6 Å³ per cell. For the formation energy from the elements, the calculation gives 0.006 eV per atom. The energy above the lowest structure with this stoichiometry comes out at 0.023 eV/atom. As for the symmetry: C2/m.



(6)
# LiAcNd

A relaxed structure of LiAcNd (PBE-GGA, the Alexandria database).

Cell: 3.7660 3.7660 8.6320 Å, 90.00 90.00 120.00°
Fractional positions:
Ac (0.6667, 0.3333, 0.3258)
Nd (0.3333, 0.6667, 0.6800)
Li (0.0000, 0.0000, 0.9942)

Summary:
The value obtained for the density of states at the Fermi level is 1.1226 states/eV/atom. The crystal system is trigonal. The volume is 106.0 Å³ per cell. For the formation energy from the elements, the calculation gives 0.124 eV per atom. The energy above the lowest structure with this stoichiometry comes out at 0.085 eV/atom. As for the symmetry: P3m1.



(7)
# ZrInNi2

A relaxed structure of ZrInNi2 (PBE-GGA, the Alexandria database).

Cell: 4.9513 4.9513 4.5143 Å, 76.36 76.36 37.52°
Fractional positions:
In (0.7391, 0.7391, 0.8033)
Ni (0.9956, 0.9956, 0.9727)
Ni (0.2576, 0.2576, 0.2771)
Zr (0.5077, 0.5077, 0.4468)

Summary:
The value obtained for the density of states at the Fermi level is 0.6122 states/eV/atom. The crystal system is monoclinic. The volume is 65.3 Å³ per cell. For the formation energy from the elements, the calculation gives -0.203 eV per atom. As for the symmetry: Cm.



(8)
# Sc2BeSi4Pt3

A relaxed structure of Sc2BeSi4Pt3 (PBE-GGA, the Alexandria database).

Cell: 3.8239 3.8239 10.7895 Å, 90.00 90.00 90.00°
Fractional positions:
Sc (0.5000, 0.0000, 0.2764)
Sc (0.0000, 0.5000, 0.7236)
Be (0.5000, 0.5000, 0.5000)
Si (0.5000, 0.5000, 0.0000)
Si (0.0000, 0.0000, 0.0000)
Si (0.5000, 0.0000, 0.6382)
Si (0.0000, 0.5000, 0.3618)
Pt (0.0000, 0.0000, 0.5000)
Pt (0.5000, 0.0000, 0.8588)
Pt (0.0000, 0.5000, 0.1412)

Summary:
The value obtained for the density of states at the Fermi level is 0.4415 states/eV/atom. The crystal system is tetragonal. The volume is 157.8 Å³ per cell. The value obtained for the formation energy (no corrections) is -871 meV/atom. As for the symmetry: P-4m2.